(1)
First-principles (GGA-PBE) data for crystalline KB6F6 at its relaxed geometry, as listed in the Alexandria database.

Geometry as extended XYZ:
```
52
Lattice="8.412 0.000 -0.012 4.206 7.242 -0.006 0.576 0.000 11.552" Properties=species:S:1:pos:R:3 pbc="T T T"
K 4.638 2.447 8.658
K 8.556 4.794 2.876
K 0.000 0.000 0.000
K 0.288 0.000 5.776
B 8.678 4.784 10.369
B 9.011 4.784 6.935
B 4.516 2.457 1.165
B 4.184 2.457 4.599
B 8.303 6.228 9.365
B 9.386 6.228 7.939
B 4.892 1.014 2.169
B 3.809 1.014 3.595
B 7.255 4.784 9.267
B 10.433 4.784 8.037
B 5.939 2.457 2.267
B 2.761 2.457 3.497
B 8.307 3.335 9.374
B 9.382 3.335 7.930
B 4.888 3.906 2.160
B 3.813 3.906 3.604
B 9.997 3.884 9.524
B 7.691 3.884 7.780
B 3.197 3.358 2.010
B 5.503 3.358 3.754
B 10.003 5.676 9.534
B 7.685 5.676 7.769
B 3.191 1.565 1.999
B 5.509 1.565 3.764
F 7.955 4.797 0.195
F 9.157 4.797 5.557
F 5.239 2.444 11.339
F 4.037 2.444 5.977
F 3.608 0.177 9.922
F 5.668 0.177 7.394
F 9.587 7.065 1.612
F 7.526 7.065 4.139
F 5.934 4.840 9.738
F 3.342 4.840 7.578
F 7.261 2.402 1.796
F 9.852 2.402 3.956
F 7.911 2.108 9.922
F 9.777 2.108 7.382
F 5.283 5.133 1.612
F 3.417 5.133 4.152
F 2.524 3.103 10.210
F 6.752 3.103 7.106
F 10.670 4.138 1.324
F 6.442 4.138 4.428
F 10.981 6.410 10.209
F 6.708 6.410 7.095
F 2.214 0.831 1.325
F 6.487 0.831 4.439
```

symmetry = C2/c (15)
formation energy without anion corrections = -1.894 eV/atom
ρ = 2.06 g/cm³

---

(2)
First-principles (GGA-PBE) data for crystalline BeMoH2 at its relaxed geometry, as listed in the Alexandria database.

Geometry as extended XYZ:
```
4
Lattice="-1.805 -1.603 2.429 -1.056 1.721 2.766 -3.325 0.708 0.410" Properties=species:S:1:pos:R:3 pbc="T T T"
Be 0.000 0.000 0.000
Mo -3.093 0.413 2.802
H -1.546 0.206 1.401
H -4.639 0.619 4.204
```

symmetry = Fm-3m (225)
energy relative to the lowest polymorph listed for this composition = 143 meV per atom
ρ = 6.26 g/cm³

---

(3)
First-principles (GGA-PBE) data for crystalline TiAgHg2 at its relaxed geometry, as listed in the Alexandria database.

Geometry as extended XYZ:
```
4
Lattice="3.132 0.000 0.000 1.566 2.713 0.000 1.566 0.904 9.412" Properties=species:S:1:pos:R:3 pbc="T T T"
Ti 3.132 1.808 4.713
Ag 4.698 2.713 9.401
Hg 1.566 0.904 7.007
Hg 1.566 0.904 2.409
```

symmetry = R3m (160)
formation energy = 0.108 eV per atom
ρ = 11.56 g/cm³

---

(4)
First-principles (GGA-PBE) data for crystalline Sm4AsCI2 at its relaxed geometry, as listed in the Alexandria database.

Geometry as extended XYZ:
```
8
Lattice="-2.037 -1.554 3.103 -0.994 -6.061 -3.687 6.810 -0.837 4.051" Properties=species:S:1:pos:R:3 pbc="T T T"
Sm -0.037 -2.532 1.318
Sm 3.815 -5.920 2.150
Sm 5.303 -2.523 2.218
Sm 0.513 -4.375 -1.854
As 0.000 0.000 0.000
C -1.516 -3.807 -0.292
I 2.386 -1.195 3.577
I 2.908 -3.449 0.182
```

symmetry = P2/m (10)
formation energy without anion corrections = -0.994 eV/atom
ρ = 7.12 g/cm³

---

(5)
First-principles (GGA-PBE) data for crystalline BW2Se at its relaxed geometry, as listed in the Alexandria database.

Geometry as extended XYZ:
```
4
Lattice="3.122 0.010 0.001 0.232 4.290 0.000 0.082 0.068 4.976" Properties=species:S:1:pos:R:3 pbc="T T T"
B 3.181 2.214 0.430
Se 3.107 3.689 3.491
W 1.616 2.247 1.937
W 2.916 0.118 0.944
```

symmetry = P1 (1)
energy relative to the lowest polymorph listed for this composition = 710 meV per atom
formation energy without anion corrections = 0.585 eV/atom
ρ = 11.40 g/cm³

---

(6)
First-principles (GGA-PBE) data for crystalline YZn2Ru at its relaxed geometry, as listed in the Alexandria database.

Geometry as extended XYZ:
```
4
Lattice="-9.246 1.164 -0.548 -9.144 -1.848 -0.338 -9.079 -0.156 2.163" Properties=species:S:1:pos:R:3 pbc="T T T"
Ru -6.867 -0.210 0.319
Y -20.601 -0.630 0.958
Zn -27.157 -0.830 1.263
Zn -14.046 -0.429 0.653
```

symmetry = R-3m (166)
formation energy = 0.217 eV per atom
ρ = 7.35 g/cm³

---

(7)
First-principles (GGA-PBE) data for crystalline Cd2NiTe at its relaxed geometry, as listed in the Alexandria database.

Geometry as extended XYZ:
```
4
Lattice="-0.968 1.799 3.305 -2.872 -2.559 0.553 3.493 -3.310 2.824" Properties=species:S:1:pos:R:3 pbc="T T T"
Cd 0.047 -0.045 0.038
Cd 1.699 -1.610 1.374
Ni -1.046 -1.207 2.635
Te 0.700 -2.862 4.047
```

symmetry = P4/mmm (123)
formation energy without anion corrections = 0.175 eV/atom
ρ = 8.10 g/cm³

---

(8)
First-principles (GGA-PBE) data for crystalline LiCe2Ge4Rh3 at its relaxed geometry, as listed in the Alexandria database.

Geometry as extended XYZ:
```
10
Lattice="-1.097 2.643 3.215 1.441 -2.878 2.858 9.006 4.161 -0.349" Properties=species:S:1:pos:R:3 pbc="T T T"
Li 4.675 1.963 2.862
Ce 1.681 2.352 1.521
Ce 7.496 1.692 1.166
Ge 0.172 -0.117 3.036
Ge 0.000 0.000 0.000
Ge 5.121 3.941 1.388
Ge 4.057 0.103 1.299
Rh 4.503 2.081 -0.175
Rh 7.327 4.961 1.302
Rh 1.850 -0.917 1.385
```

symmetry = P-4m2 (115)
formation energy = -0.760 eV per atom
ρ = 8.00 g/cm³

---

(9)
First-principles (GGA-PBE) data for crystalline KRbCd2Cu at its relaxed geometry, as listed in the Alexandria database.

Geometry as extended XYZ:
```
5
Lattice="5.322 0.000 0.000 0.000 5.322 0.000 0.000 0.000 6.136" Properties=species:S:1:pos:R:3 pbc="T T T"
K 2.661 2.661 3.068
Cu 0.000 0.000 0.000
Rb 0.000 0.000 3.068
Cd 0.000 2.661 0.000
Cd 2.661 0.000 0.000
```

symmetry = P4/mmm (123)
formation energy = 0.130 eV per atom
energy relative to the lowest polymorph listed for this composition = 28 meV per atom
ρ = 3.95 g/cm³

---

(10)
First-principles (GGA-PBE) data for crystalline TlCoSe2 at its relaxed geometry, as listed in the Alexandria database.

Geometry as extended XYZ:
```
4
Lattice="-2.843 -1.726 0.346 1.341 -2.844 -3.164 2.407 -3.186 3.884" Properties=species:S:1:pos:R:3 pbc="T T T"
Co 1.874 -3.015 0.360
Se 0.000 0.000 0.000
Se -0.751 -2.285 -1.409
Tl -0.218 -2.456 2.115
```

symmetry = Pmmm (47)
formation energy without anion corrections = 0.571 eV/atom
ρ = 8.42 g/cm³

---

(11)
First-principles (GGA-PBE) data for crystalline BeIn2Si at its relaxed geometry, as listed in the Alexandria database.

Geometry as extended XYZ:
```
4
Lattice="3.872 0.000 0.000 0.000 4.278 0.113 0.000 2.223 4.889" Properties=species:S:1:pos:R:3 pbc="T T T"
Be 1.936 4.095 3.716
Si 0.000 4.064 2.597
In 0.000 6.201 4.636
In 1.936 1.893 1.558
```

symmetry = Pm (6)
energy relative to the lowest polymorph listed for this composition = 96 meV per atom
formation energy without anion corrections = 0.309 eV/atom
ρ = 5.54 g/cm³

---

(12)
First-principles (GGA-PBE) data for crystalline LaZnRe2Bi at its relaxed geometry, as listed in the Alexandria database.

Geometry as extended XYZ:
```
5
Lattice="4.956 0.000 0.000 0.000 4.956 0.000 0.000 0.000 6.193" Properties=species:S:1:pos:R:3 pbc="T T T"
Re 0.000 2.478 0.000
Re 2.478 0.000 0.000
Zn 2.478 2.478 3.096
Bi 0.000 0.000 3.096
La 0.000 0.000 0.000
```

symmetry = P4/mmm (123)
formation energy = 2.434 eV per atom
energy relative to the lowest polymorph listed for this composition = 1205 meV per atom
ρ = 8.58 g/cm³